Entry 1:
Compound: InAg2Pb
Source: the Alexandria database
Functional: GGA-PBEsol
Structure: relaxed

Results
Energy of formation in eV per atom: 0.19
Space group: F-43m
M_tot in μB per formula unit: 0.0
Electronic total energy in eV per atom: -3.21
Fermi-level density of states in states/eV per cell: 1.96

Lattice parameters (Å, degrees): 4.967 4.967 4.967 60.00 60.00 60.00
Positions (direct):
1 Ag 0.000 0.000 0.000
2 Ag 0.750 0.750 0.750
3 In 0.500 0.500 0.500
4 Pb 0.250 0.250 0.250


Entry 2:
Compound: TcPt2Br
Source: the Alexandria database
Functional: GGA-PBEsol
Structure: relaxed

Results
Polymorph energy (0 for the lowest one) in eV per atom: 0.230
Space group: Cmm2
ΔE_f (raw) in meV per atom: 531
M_tot in μB per formula unit: 0.0
Electronic total energy in eV per atom: -6.23
Fermi-level density of states in states/eV per cell: 4.08

Lattice parameters (Å, degrees): 2.790 2.795 9.627 90.00 90.00 119.95
Positions (direct):
1 Br 0.500 0.000 0.724
2 Tc 0.000 0.000 0.496
3 Pt 0.000 0.000 0.017
4 Pt 0.500 0.000 0.264


Entry 3:
Compound: TmPO4
Source: the Alexandria database
Functional: GGA-PBEsol
Structure: relaxed

Results
Space group: I4_1/amd
ΔE_f (raw) in meV per atom: -3110
M_tot in μB per formula unit: 0.0
Electronic total energy in eV per atom: -8.39
Fermi-level density of states in states/eV per cell: 0.00

Lattice parameters (Å, degrees): 5.648 5.648 5.648 106.04 106.04 116.57
Positions (direct):
1 Tm 0.750 0.250 0.500
2 Tm 0.500 0.500 0.000
3 P 0.000 0.000 0.000
4 P 0.250 0.750 0.500
5 O 0.413 0.736 0.323
6 O 0.986 0.163 0.823
7 O 0.341 0.163 0.177
8 O 0.413 0.091 0.677
9 O 0.264 0.587 0.677
10 O 0.837 0.014 0.177
11 O 0.837 0.659 0.823
12 O 0.909 0.587 0.323


Entry 4:
Compound: CsHfSb2Te
Source: the Alexandria database
Functional: GGA-PBEsol
Structure: relaxed

Results
Space group: P4/mmm
ΔE_f (raw) in meV per atom: 1826
M_tot in μB per formula unit: 0.0
Electronic total energy in eV per atom: -2.99
Fermi-level density of states in states/eV per cell: 3.86

Lattice parameters (Å, degrees): 5.766 5.815 5.815 90.00 90.00 90.00
Positions (direct):
1 Cs 0.000 0.000 0.000
2 Sb 0.000 0.000 0.500
3 Sb 0.000 0.500 0.000
4 Te 0.500 0.000 0.000
5 Hf 0.500 0.500 0.500


Entry 5:
Compound: NbPN2F
Source: the Alexandria database
Functional: GGA-PBEsol
Structure: relaxed

Results
Space group: P4/mmm
ΔE_f (raw) in meV per atom: 196
M_tot in μB per formula unit: 1.8
Electronic total energy in eV per atom: -6.92
Fermi-level density of states in states/eV per cell: 3.01

Lattice parameters (Å, degrees): 3.588 3.720 3.720 90.00 90.00 90.00
Each line ends with the local moment (μB).
Positions (direct):
1 P 0.000 0.000 0.000  0.01
2 Nb 0.500 0.500 0.500  1.65
3 N 0.000 0.000 0.500  -0.05
4 N 0.000 0.500 0.000  -0.05
5 F 0.500 0.000 0.000  0.05


Entry 6:
Compound: KNbTcAg2
Source: the Alexandria database
Functional: GGA-PBEsol
Structure: relaxed

Results
Energy of formation in eV per atom: 2.43
Space group: P4/mmm
M_tot in μB per formula unit: 0.9
Electronic total energy in eV per atom: -3.54
Fermi-level density of states in states/eV per cell: 5.03

Lattice parameters (Å, degrees): 4.643 4.803 4.803 90.00 90.00 90.00
Each line ends with the local moment (μB).
Positions (direct):
1 K 0.000 0.000 0.000  0.00
2 Nb 0.500 0.500 0.500  1.55
3 Tc 0.500 0.000 0.000  -1.01
4 Ag 0.000 0.000 0.500  0.02
5 Ag 0.000 0.500 0.000  0.02


Entry 7:
Compound: Ba3FeRh
Source: the Alexandria database
Functional: GGA-PBEsol
Structure: relaxed

Results
Energy of formation in eV per atom: 0.75
Space group: Pm-3m
M_tot in μB per formula unit: 0.0
Electronic total energy in eV per atom: -3.95
Fermi-level density of states in states/eV per cell: 1.63

Lattice parameters (Å, degrees): 5.320 5.320 5.320 90.00 90.00 90.00
Positions (direct):
1 Rh 0.500 0.500 0.500
2 Ba 0.000 0.500 0.000
3 Ba 0.000 0.000 0.500
4 Ba 0.500 0.000 0.000
5 Fe 0.000 0.000 0.000


Entry 8:
Compound: Y2MnBr
Source: the Alexandria database
Functional: GGA-PBEsol
Structure: relaxed

Results
Polymorph energy (0 for the lowest one) in eV per atom: 0.000
Space group: P4/mmm
ΔE_f (raw) in meV per atom: -353
M_tot in μB per formula unit: 0.6
Electronic total energy in eV per atom: -6.67
Fermi-level density of states in states/eV per cell: 3.34

Lattice parameters (Å, degrees): 3.339 3.339 7.830 90.00 90.00 90.00
Each line ends with the local moment (μB).
Positions (direct):
1 Br 0.500 0.500 0.000  -0.01
2 Mn 0.500 0.500 0.500  1.02
3 Y 0.000 0.000 0.706  -0.17
4 Y 0.000 0.000 0.294  -0.17


Entry 9:
Compound: YAlZn
Source: the Alexandria database
Functional: GGA-PBEsol
Structure: relaxed

Results
Energy of formation in eV per atom: -0.48
Space group: P-6m2
M_tot in μB per formula unit: 0.0
Electronic total energy in eV per atom: -4.65
Fermi-level density of states in states/eV per cell: 2.15

Lattice parameters (Å, degrees): 3.543 4.417 4.417 120.00 90.00 90.00
Positions (direct):
1 Y 0.000 0.333 0.667
2 Zn 0.500 0.667 0.333
3 Al 0.500 0.000 0.000


Entry 10:
Compound: CdRuCl2
Source: the Alexandria database
Functional: GGA-PBEsol
Structure: relaxed

Results
Polymorph energy (0 for the lowest one) in eV per atom: 0.790
Space group: F-43m
ΔE_f (raw) in meV per atom: 686
M_tot in μB per formula unit: 2.3
Electronic total energy in eV per atom: -3.16
Fermi-level density of states in states/eV per cell: 5.38

Lattice parameters (Å, degrees): 4.712 4.712 4.712 60.00 60.00 60.00
Each line ends with the local moment (μB).
Positions (direct):
1 Ru 0.250 0.250 0.250  2.00
2 Cl 0.000 0.000 0.000  0.08
3 Cl 0.750 0.750 0.750  0.09
4 Cd 0.500 0.500 0.500  -0.03


Entry 11:
Compound: AgPdAu2
Source: the Alexandria database
Functional: GGA-PBEsol
Structure: relaxed

Results
Energy of formation in eV per atom: -0.06
Space group: Fm-3m
M_tot in μB per formula unit: 0.0
Electronic total energy in eV per atom: -4.34
Fermi-level density of states in states/eV per cell: 1.21

Lattice parameters (Å, degrees): 4.511 4.511 4.511 60.00 60.00 60.00
Positions (direct):
1 Au 0.250 0.250 0.250
2 Au 0.750 0.750 0.750
3 Ag 0.500 0.500 0.500
4 Pd 0.000 0.000 0.000


Entry 12:
Compound: CrAg2Pt
Source: the Alexandria database
Functional: GGA-PBEsol
Structure: relaxed

Results
Polymorph energy (0 for the lowest one) in eV per atom: 0.000
Energy of formation in eV per atom: 0.17
Space group: I4/mmm
M_tot in μB per formula unit: 3.7
Electronic total energy in eV per atom: -5.78
Fermi-level density of states in states/eV per cell: 3.94

Lattice parameters (Å, degrees): 3.837 3.837 5.005 112.54 112.54 90.00
Each line ends with the local moment (μB).
Positions (direct):
1 Ag 0.750 0.250 0.500  0.03
2 Ag 0.250 0.750 0.500  0.03
3 Cr 0.500 0.500 0.000  3.35
4 Pt 0.000 0.000 0.000  0.09


Entry 13:
Compound: BaLi4Tl
Source: the Alexandria database
Functional: GGA-PBEsol
Structure: relaxed

Results
Energy of formation in eV per atom: -0.15
Space group: F-43m
M_tot in μB per formula unit: 0.0
Electronic total energy in eV per atom: -2.26
Fermi-level density of states in states/eV per cell: 3.52

Lattice parameters (Å, degrees): 5.851 5.851 5.851 60.00 60.00 60.00
Positions (direct):
1 Tl 0.750 0.750 0.750
2 Ba 0.000 0.000 0.000
3 Li 0.378 0.378 0.378
4 Li 0.378 0.378 0.865
5 Li 0.865 0.378 0.378
6 Li 0.378 0.865 0.378


Entry 14:
Compound: BeNi2Rh
Source: the Alexandria database
Functional: GGA-PBEsol
Structure: relaxed

Results
Energy of formation in eV per atom: -0.08
Space group: R3m
M_tot in μB per formula unit: 0.9
Electronic total energy in eV per atom: -6.20
Fermi-level density of states in states/eV per cell: 5.12

Lattice parameters (Å, degrees): 2.554 2.554 7.787 80.56 80.56 60.00
Each line ends with the local moment (μB).
Positions (direct):
1 Be 0.747 0.747 0.758  -0.01
2 Ni 0.006 0.006 0.983  0.17
3 Ni 0.253 0.253 0.240  0.61
4 Rh 0.494 0.494 0.518  0.20


Entry 15:
Compound: PRh3Au
Source: the Alexandria database
Functional: GGA-PBEsol
Structure: relaxed

Results
Energy of formation in eV per atom: 2.07
Space group: Pm-3m
M_tot in μB per formula unit: 2.4
Electronic total energy in eV per atom: -4.76
Fermi-level density of states in states/eV per cell: 11.73

Lattice parameters (Å, degrees): 4.742 4.742 4.742 90.00 90.00 90.00
Each line ends with the local moment (μB).
Positions (direct):
1 Rh 0.000 0.500 0.000  0.68
2 Rh 0.000 0.000 0.500  0.68
3 Rh 0.500 0.000 0.000  0.68
4 Au 0.000 0.000 0.000  0.19
5 P 0.500 0.500 0.500  0.06


Entry 16:
Compound: ZrSbAu
Source: the Alexandria database
Functional: GGA-PBEsol
Structure: relaxed

Results
Space group: P3m1
ΔE_f (raw) in meV per atom: -235
M_tot in μB per formula unit: 0.0
Electronic total energy in eV per atom: -6.09
Fermi-level density of states in states/eV per cell: 1.83

Lattice parameters (Å, degrees): 3.258 3.258 6.993 90.00 90.00 120.00
Positions (direct):
1 Au 0.000 0.000 0.015
2 Sb 0.333 0.667 0.664
3 Zr 0.667 0.333 0.320


Entry 17:
Compound: Be2CrTc2
Source: the Alexandria database
Functional: GGA-PBEsol
Structure: relaxed

Results
Energy of formation in eV per atom: -0.17
Space group: P4/mbm
M_tot in μB per formula unit: 0.0
Electronic total energy in eV per atom: -8.33
Fermi-level density of states in states/eV per cell: 6.93

Lattice parameters (Å, degrees): 3.036 5.927 5.927 90.00 90.00 90.00
Positions (direct):
1 Cr 0.000 0.000 0.000
2 Cr 0.000 0.500 0.500
3 Tc 0.500 0.177 0.677
4 Tc 0.500 0.677 0.823
5 Tc 0.500 0.823 0.323
6 Tc 0.500 0.323 0.177
7 Be 0.000 0.379 0.879
8 Be 0.000 0.879 0.621
9 Be 0.000 0.621 0.121
10 Be 0.000 0.121 0.379


Entry 18:
Compound: BaCa2Br
Source: the Alexandria database
Functional: GGA-PBEsol
Structure: relaxed

Results
Space group: R3m
ΔE_f (raw) in meV per atom: -705
M_tot in μB per formula unit: 0.0
Electronic total energy in eV per atom: -2.78
Fermi-level density of states in states/eV per cell: 4.52

Lattice parameters (Å, degrees): 4.011 4.011 11.300 79.78 79.78 60.00
Positions (direct):
1 Ca 0.985 0.985 0.045
2 Ca 0.744 0.744 0.768
3 Ba 0.514 0.514 0.457
4 Br 0.257 0.257 0.230


Entry 19:
Compound: SiBi2As
Source: the Alexandria database
Functional: GGA-PBEsol
Structure: relaxed

Results
Space group: I-42d
ΔE_f (raw) in meV per atom: 301
M_tot in μB per formula unit: 0.0
Electronic total energy in eV per atom: -4.55
Fermi-level density of states in states/eV per cell: 3.76

Lattice parameters (Å, degrees): 8.005 6.478 8.005 51.84 90.00 128.16
Positions (direct):
1 As 0.750 0.500 0.750
2 As 0.000 0.000 0.000
3 Si 0.250 0.500 0.250
4 Si 0.500 0.000 0.500
5 Bi 0.613 0.750 0.375
6 Bi 0.137 0.750 0.875
7 Bi 0.875 0.250 0.613
8 Bi 0.375 0.250 0.137


Entry 20:
Compound: Cs2SbBr6
Source: the Alexandria database
Functional: GGA-PBEsol
Structure: relaxed

Results
Space group: Fm-3m
ΔE_f (raw) in meV per atom: -1142
M_tot in μB per formula unit: 0.0
Electronic total energy in eV per atom: -3.10
Fermi-level density of states in states/eV per cell: 3.17

Lattice parameters (Å, degrees): 7.624 7.624 7.624 60.00 60.00 60.00
Positions (direct):
1 Cs 0.750 0.750 0.750
2 Cs 0.250 0.250 0.250
3 Sb 0.500 0.500 0.500
4 Br 0.251 0.749 0.251
5 Br 0.749 0.251 0.749
6 Br 0.749 0.251 0.251
7 Br 0.251 0.749 0.749
8 Br 0.749 0.749 0.251
9 Br 0.251 0.251 0.749